1.
A plane-wave DFT calculation with PBE was carried out for an optimized crystal structure of DyZr2Hg.

Calculated values
- E_tot: -5.57 eV per atom
- Calculated formation energy: -26 kJ/mol of formula units
- DOS at the Fermi energy: 1.396 states/eV per atom
- E above lowest polymorph: 0 meV per atom
- Magnetic moment: 0.000 μB per atom

a b c (Å): 4.5180 4.5180 4.6164
angles (deg): 90.00 90.00 90.00
With the nearest neighbours (Å) after each atom.
Space group P4/mmm (No. 123)
Asymmetric unit:
Dy  0.0000  0.0000  0.0000  4 Hg 3.19, 8 Zr 3.23
Zr  0.0000  0.5000  0.5000  4 Zr 3.19, 4 Dy 3.23, 4 Hg 3.23
Hg  0.5000  0.5000  0.0000  4 Dy 3.19, 8 Zr 3.23


2.
A plane-wave DFT calculation with PBE was carried out for an optimized crystal structure of Dy2ZrHg.

Calculated values
- E_tot: -4.71 eV per atom
- Calculated formation energy: -77 kJ/mol of formula units
- DOS at the Fermi energy: 1.100 states/eV per atom
- E above lowest polymorph: 0 meV per atom
- Magnetic moment: 0.000 μB per atom

a b c (Å): 3.4701 3.4701 8.7541
angles (deg): 90.00 90.00 90.00
With the nearest neighbours (Å) after each atom.
Space group P4/mmm (No. 123)
Asymmetric unit:
Dy  0.0000  0.0000  0.2406  4 Hg 3.23, 4 Zr 3.34, 4 Dy 3.47
Zr  0.5000  0.5000  0.5000  8 Dy 3.34, 4 Zr 3.47
Hg  0.5000  0.5000  0.0000  8 Dy 3.23, 4 Hg 3.47


3.
A plane-wave DFT calculation with PBE was carried out for an optimized crystal structure of Dy6Ho.

Calculated values
- E_tot: -4.33 eV per atom
- Calculated formation energy: 181 kJ/mol of formula units
- DOS at the Fermi energy: 1.375 states/eV per atom
- E above lowest polymorph: 0 meV per atom
- Magnetic moment: 0.000 μB per atom

a b c (Å): 6.4518 6.4518 10.9506
angles (deg): 90.00 90.00 90.00
With the nearest neighbours (Å) after each atom.
Space group P4/nbm (No. 125, origin choice 2)
Asymmetric unit:
Dy  0.0820  0.5820  0.1382  8 Dy 3.07-3.42
Dy  0.2500  0.2500  0.3606  1 Dy 3.05
Ho  0.2500  0.7500  0.5000  8 Dy 3.57


4.
A plane-wave DFT calculation with PBE was carried out for an optimized crystal structure of Dy4Ho5.

Calculated values
- E_tot: -4.55 eV per atom
- Calculated formation energy: 33 kJ/mol of formula units
- DOS at the Fermi energy: 1.352 states/eV per atom
- E above lowest polymorph: 19 meV per atom
- Magnetic moment: 0.000 μB per atom

a b c (Å): 3.5893 11.9967 12.9616
angles (deg): 90.00 90.00 90.00
With the nearest neighbours (Å) after each atom.
Space group Immm (No. 71)
Asymmetric unit:
Dy  0.0000  0.1439  0.1896  6 Ho 3.45-3.53, 5 Dy 3.45-3.59
Ho  0.0000  0.2068  0.5000  7 Ho 3.47-3.59, 4 Dy 3.53
Ho  0.0000  0.5000  0.1259  7 Ho 3.26-3.59, 4 Dy 3.45
Ho  0.0000  0.5000  0.5000  8 Dy 3.50, 4 Ho 3.52-3.59


5.
A plane-wave DFT calculation with PBE was carried out for an optimized crystal structure of DyHo6.

Calculated values
- E_tot: -4.31 eV per atom
- Calculated formation energy: 182 kJ/mol of formula units
- DOS at the Fermi energy: 1.418 states/eV per atom
- E above lowest polymorph: 0 meV per atom
- Magnetic moment: 0.000 μB per atom

a b c (Å): 6.4432 6.4432 10.8969
angles (deg): 90.00 90.00 90.00
With the nearest neighbours (Å) after each atom.
Space group P4/nbm (No. 125, origin choice 2)
Asymmetric unit:
Dy  0.2500  0.7500  0.0000  8 Ho 3.57
Ho  0.0818  0.5818  0.3621  8 Ho 3.07-3.40
Ho  0.2500  0.2500  0.1402  5 Ho 3.06-3.40


6.
A plane-wave DFT calculation with PBE was carried out for an optimized crystal structure of Dy5Ho4.

Calculated values
- E_tot: -4.57 eV per atom
- Calculated formation energy: 17 kJ/mol of formula units
- DOS at the Fermi energy: 1.429 states/eV per atom
- E above lowest polymorph: 0 meV per atom
- Magnetic moment: 0.000 μB per atom

a b c (Å): 11.6955 10.5830 4.9791
angles (deg): 90.00 115.11 90.00
With the nearest neighbours (Å) after each atom.
Space group C2/m (No. 12)
Asymmetric unit:
Dy  0.0000  0.0000  0.0000  8 Ho 3.52-3.53, 4 Dy 3.53
Dy  0.0000  0.3332  0.0000  6 Ho 3.52-3.53, 6 Dy 3.53
Dy  0.1669  0.5000  0.6669  6 Ho 3.52-3.53, 6 Dy 3.53-3.54
Ho  0.1666  0.1667  0.6666  8 Dy 3.52-3.53, 4 Ho 3.52-3.53


7.
A plane-wave DFT calculation with PBE was carried out for an optimized crystal structure of Dy5Ho7.

Calculated values
- E_tot: -4.39 eV per atom
- Calculated formation energy: 229 kJ/mol of formula units
- DOS at the Fermi energy: 1.745 states/eV per atom
- E above lowest polymorph: 194 meV per atom
- Magnetic moment: 0.000 μB per atom

a b c (Å): 9.5460 5.6211 14.5548
angles (deg): 90.00 103.03 90.00
With the nearest neighbours (Å) after each atom.
Space group C2/m (No. 12)
Asymmetric unit:
Dy  0.0000  0.0000  0.0000  2 Ho 3.03
Dy  0.1152  0.5000  0.8042  5 Ho 3.22-3.59
Dy  0.1438  0.0000  0.4389  7 Ho 3.20-3.57
Ho  0.0000  0.5000  0.5000  6 Dy 3.31-3.34
Ho  0.0544  0.0000  0.2131  5 Dy 3.03-3.23
Ho  0.1875  0.5000  0.0792  6 Dy 3.39-3.67, 3 Ho 3.52-3.80
Ho  0.2342  0.0000  0.6726  5 Dy 3.32-3.71, 4 Ho 3.52-3.64


8.
A plane-wave DFT calculation with PBE was carried out for an optimized crystal structure of Dy5Ho7.

Calculated values
- E_tot: -4.58 eV per atom
- Calculated formation energy: 4 kJ/mol of formula units
- DOS at the Fermi energy: 1.379 states/eV per atom
- E above lowest polymorph: 0 meV per atom
- Magnetic moment: 0.000 μB per atom

a b c (Å): 18.3779 3.5356 12.9669
angles (deg): 90.00 118.22 90.00
With the nearest neighbours (Å) after each atom.
Space group C2/m (No. 12)
Asymmetric unit:
Dy  0.0000  0.0000  0.0000  10 Ho 3.51-3.54, 2 Dy 3.54
Dy  0.1665  0.0000  0.4998  6 Ho 3.51-3.54, 6 Dy 3.51-3.54
Dy  0.1946  0.5000  0.7502  8 Ho 3.51-3.54, 4 Dy 3.51-3.54
Ho  0.0000  0.5000  0.5000  6 Ho 3.51-3.54, 6 Dy 3.51-3.54
Ho  0.0278  0.0000  0.7500  8 Ho 3.51-3.54, 4 Dy 3.51-3.54
Ho  0.1387  0.5000  0.2499  7 Dy 3.51-3.54, 5 Ho 3.52-3.54
Ho  0.1665  0.5000  0.9995  7 Ho 3.51-3.54, 5 Dy 3.51-3.54